(1)
Below is a relaxed PtAu2 crystal, with properties calculated at the GGA-PBE level.

Calculated values
Space-group type: No. 141

POSCAR file:
```
PtAu2
1.0
-1.413 1.413 13.346
1.413 -1.413 13.346
1.413 1.413 -13.346
Au Pt
4 2
Direct
0.329 0.829 0.500
0.579 0.579 0.000
0.421 0.421 0.000
0.171 0.671 0.500
0.000 0.000 0.000
0.750 0.250 0.500
```



(2)
Below is a relaxed PtAu2 crystal, with properties calculated at the GGA-PBE level.

Calculated values
Space-group type: No. 139

POSCAR file:
```
PtAu2
1.0
-1.313 -6.123 0.731
0.598 -5.552 -2.927
2.205 5.551 2.018
Au Pt
2 1
Direct
0.669 0.669 0.000
0.997 0.997 0.000
0.333 0.333 0.000
```



Verdict on stability: (1) comes out at the bottom.



(1)
Below is a relaxed DyYZnCd crystal, with properties calculated at the GGA-PBE level.

Calculated values
Space-group type: No. 99

POSCAR file:
```
DyYZnCd
1.0
-2.466 2.631 0.026
-2.040 -1.934 2.259
3.476 3.199 5.878
Dy Zn Y Cd
1 1 1 1
Direct
0.500 0.500 0.588
0.000 0.000 0.358
0.500 0.500 0.126
0.000 0.000 0.856
```



(2)
Below is a relaxed DyYZnCd crystal, with properties calculated at the GGA-PBE level.

Calculated values
Space-group type: No. 216

POSCAR file:
```
DyYZnCd
1.0
5.188 0.000 0.000
2.594 4.493 0.000
2.594 1.498 4.236
Dy Y Zn Cd
1 1 1 1
Direct
0.500 0.500 0.500
0.000 0.000 0.000
0.250 0.250 0.250
0.750 0.750 0.750
```



Verdict on stability: (2) comes out at the bottom.



(1)
Below is a relaxed LaRe crystal, with properties calculated at the GGA-PBE level.

Calculated values
Space-group type: No. 194

POSCAR file:
```
LaRe
1.0
8.385 0.000 0.000
-4.192 7.262 0.000
0.000 0.000 4.940
Re La
6 6
Direct
0.868 0.434 0.750
0.434 0.566 0.250
0.566 0.132 0.750
0.566 0.434 0.750
0.132 0.566 0.250
0.434 0.868 0.250
0.347 0.174 0.250
0.174 0.826 0.750
0.826 0.653 0.250
0.653 0.826 0.750
0.826 0.174 0.250
0.174 0.347 0.750
```



(2)
Below is a relaxed LaRe crystal, with properties calculated at the GGA-PBE level.

Calculated values
Space-group type: No. 129

POSCAR file:
```
LaRe
1.0
3.178 0.000 0.000
0.000 3.178 0.000
0.000 0.000 9.506
La Re
2 2
Direct
0.250 0.250 0.192
0.750 0.750 0.808
0.750 0.750 0.429
0.250 0.250 0.571
```



Verdict on stability: (1) comes out at the bottom.



(1)
Below is a relaxed BC2 crystal, with properties calculated at the GGA-PBE level.

Calculated values
Space-group type: No. 8

POSCAR file:
```
BC2
1.0
-2.167 3.371 1.909
-3.941 1.722 1.100
3.046 -5.615 4.778
C B
8 4
Direct
0.011 0.011 0.992
0.159 0.159 0.697
0.326 0.326 0.672
0.852 0.852 0.028
0.820 0.820 0.554
0.180 0.180 0.200
0.986 0.986 0.520
0.499 0.499 0.871
0.656 0.656 0.320
0.670 0.670 0.840
0.483 0.483 0.401
0.358 0.358 0.154
```



(2)
Below is a relaxed BC2 crystal, with properties calculated at the GGA-PBE level.

Calculated values
Space-group type: No. 12

POSCAR file:
```
BC2
1.0
4.222 0.054 -1.737
3.410 2.490 -1.737
0.522 0.174 8.054
C B
8 4
Direct
0.468 0.468 0.867
0.695 0.695 0.356
0.889 0.889 0.092
0.138 0.138 0.686
0.835 0.835 0.532
0.945 0.945 0.950
0.998 0.998 0.509
0.365 0.365 0.174
0.595 0.595 0.771
0.522 0.522 0.383
0.311 0.311 0.659
0.238 0.238 0.271
```



Verdict on stability: (1) comes out at the bottom.



(1)
Below is a relaxed K2BePb crystal, with properties calculated at the GGA-PBE level.

Calculated values
Space-group type: No. 123

POSCAR file:
```
K2BePb
1.0
-3.212 -0.684 1.470
0.135 -3.364 -1.269
4.701 -3.137 8.814
K Pb Be
2 1 1
Direct
0.000 0.000 0.522
0.000 0.000 0.978
0.500 0.500 0.250
0.500 0.500 0.750
```



(2)
Below is a relaxed K2BePb crystal, with properties calculated at the GGA-PBE level.

Calculated values
Space-group type: No. 71

POSCAR file:
```
K2BePb
1.0
6.582 0.026 0.033
3.059 5.828 -0.033
-4.618 -3.260 3.371
K Be Pb
2 1 1
Direct
0.016 0.016 0.000
0.484 0.484 0.000
0.250 0.750 0.500
0.750 0.250 0.500
```



Verdict on stability: (1) comes out at the bottom.